Version i
## Pr8Sm2Pb (PBE)

Data for crystalline Pr8Sm2Pb at its relaxed geometry.

- Magnetic moment: 0.00 Bohr magnetons per cell
- DOS at the Fermi energy: 1.37 states/eV/atom

a b c (Å): 18.753 5.094 8.231
angles (deg): 90.00 105.31 90.00
Space group C2/m (No. 12)
Inequivalent atoms, fractional coordinates:
Pr (0.043, 0.000, 0.231) [4 per cell]
Pr (0.090, 0.500, 0.942) [4 per cell]
Pr (0.138, 0.000, 0.680) [4 per cell]
Pr (0.177, 0.500, 0.408) [4 per cell]
Sm (0.224, 0.000, 0.133) [4 per cell]
Pb (0.000, 0.500, 0.500) [2 per cell]

Version ii
## Pr8Sm2Pb (PBE)

Data for crystalline Pr8Sm2Pb at its relaxed geometry.

- Magnetic moment: 0.00 Bohr magnetons per cell
- DOS at the Fermi energy: 1.34 states/eV/atom

a b c (Å): 5.683 7.803 17.818
angles (deg): 90.00 90.00 90.00
Space group Immm (No. 71)
Inequivalent atoms, fractional coordinates:
Pr (0.000, 0.000, 0.177) [4 per cell]
Pr (0.000, 0.225, 0.362) [8 per cell]
Pr (0.000, 0.261, 0.000) [4 per cell]
Sm (0.000, 0.500, 0.192) [4 per cell]
Pb (0.000, 0.500, 0.500) [2 per cell]

Which is more stable than every other structure shown? version i is more stable than every other one.